Density functional theory data (PBE with a Hubbard U) for Co2GeRuO6 after structural relaxation.

Summary:
Fermi-level density of states = 0.203 states/eV/atom
Space group = No. 146
Spin magnetization = 4.0 Bohr magnetons per cell
DFT total energy = -0.4742 Ry per atom

Cell lengths 4.9923, 4.9923, 5.4518 Å; angles 62.75, 62.75, 60.00 degrees
Last column: magnetic moment on the atom in μB.
Element x y z (fractional)
1 Co 0.0101 0.0101 0.9698  0.02
2 Co 0.5238 0.5238 0.4287  2.69
3 O 0.9409 0.6059 0.2368  0.06
4 O 0.4020 0.7204 0.7726  0.07
5 O 0.7204 0.1051 0.7725  0.07
6 O 0.1051 0.4020 0.7725  0.07
7 O 0.2165 0.9409 0.2368  0.06
8 O 0.6059 0.2165 0.2368  0.06
9 Ge 0.3206 0.3206 0.0382  0.01
10 Ru 0.8165 0.8165 0.5506  0.82